Tb5TlAg2 PBE relaxed; formation energy = -0.22 eV per atom; SG = I4/mcm
1.0
-4.060 4.060 6.681
4.060 -4.060 6.681
4.060 4.060 -6.681
Tb Tl Ag
10 2 4
direct
0.000 0.000 0.000
0.006 0.506 0.810
0.196 0.006 0.500
0.304 0.804 0.810
0.494 0.304 0.500
0.500 0.500 0.000
0.506 0.696 0.500
0.696 0.196 0.190
0.804 0.994 0.500
0.994 0.494 0.190
0.250 0.250 0.000
0.750 0.750 0.000
0.133 0.367 0.500
0.367 0.867 0.233
0.633 0.133 0.767
0.867 0.633 0.500

TbTlAg PBE relaxed; formation energy = -0.18 eV per atom; SG = F-43m
1.0
0.000 3.428 3.428
3.428 0.000 3.428
3.428 3.428 0.000
Tb Tl Ag
1 1 1
direct
0.000 0.000 0.000
0.500 0.500 0.500
0.750 0.750 0.750

Tb4TlAg3 PBE relaxed; energy relative to the lowest polymorph listed for this composition = 0.042 eV per atom; formation energy = -0.28 eV per atom; SG = Pmm2
1.0
3.724 0.000 0.000
0.000 4.869 0.000
0.000 0.000 11.429
Tb Tl Ag
4 1 3
direct
0.000 0.000 0.000
0.000 0.500 0.278
0.500 0.000 0.481
0.500 0.500 0.791
0.000 0.000 0.719
0.000 0.500 0.552
0.500 0.000 0.215
0.500 0.500 0.062

Tb6TlAg6 PBE relaxed; formation energy = -0.16 eV per atom; SG = P6/mmm
1.0
5.898 0.000 0.000
-2.949 5.108 0.000
0.000 0.000 10.755
Tb Tl Ag
6 1 6
direct
0.000 0.000 0.164
0.000 0.000 0.836
0.333 0.667 0.000
0.333 0.667 0.500
0.667 0.333 0.000
0.667 0.333 0.500
0.000 0.000 0.500
0.000 0.500 0.257
0.000 0.500 0.743
0.500 0.000 0.257
0.500 0.000 0.743
0.500 0.500 0.257
0.500 0.500 0.743

| no. | total moment (μB/f.u.) |
| --- | --- |
| 1 | 0.00 |
| 2 | 0.00 |
| 3 | 0.00 |
| 4 | 0.00 |